Below is crystalline AlFe2Br at its relaxed geometry, with properties calculated at the GGA-PBE level.

Calculated values
Relative energy among the computed polymorphs: 0.407 eV per atom
Formation energy (no corrections): 0.526 eV per atom

Cell: 2.982 4.267 4.965 Å, 90.00 90.00 90.00°
Sites, in units of the cell vectors:
Al  0.000  0.000  0.000
Fe  0.000  0.500  0.500
Fe  0.500  0.500  0.000
Br  0.500  0.000  0.500

***

Below is crystalline TlSbTe at its relaxed geometry, with properties calculated at the GGA-PBE level.

Calculated values
Relative energy among the computed polymorphs: 0.013 eV per atom
Formation energy (no corrections): 0.001 eV per atom

Cell: 4.384 4.384 13.477 Å, 104.33 104.33 57.86°
Sites, in units of the cell vectors:
Tl  0.182  0.182  0.232
Tl  0.818  0.818  0.768
Sb  0.366  0.366  0.562
Sb  0.634  0.634  0.438
Te  0.207  0.207  0.909
Te  0.793  0.793  0.091

***

Below is crystalline Ho6CuTc2 at its relaxed geometry, with properties calculated at the GGA-PBE level.

Calculated values
Calculated formation energy: -74 meV/atom

Cell: 8.356 8.356 8.356 Å, 111.87 110.42 106.17°
Sites, in units of the cell vectors:
Ho  0.024  0.818  0.206
Ho  0.232  0.534  0.302
Ho  0.232  0.931  0.698
Ho  0.278  0.315  0.593
Ho  0.278  0.685  0.963
Ho  0.388  0.182  0.206
Ho  0.612  0.818  0.794
Ho  0.722  0.315  0.037
Ho  0.722  0.685  0.407
Ho  0.768  0.069  0.302
Ho  0.768  0.466  0.698
Ho  0.976  0.182  0.794
Cu  0.000  0.500  0.500
Cu  0.500  0.000  0.500
Tc  0.000  0.135  0.135
Tc  0.000  0.865  0.865
Tc  0.381  0.381  0.000
Tc  0.619  0.619  0.000

***

Below is crystalline Sc2OsCl at its relaxed geometry, with properties calculated at the GGA-PBE level.

Calculated values
Relative energy among the computed polymorphs: 0.774 eV per atom
Formation energy (no corrections): -0.170 eV per atom

Cell: 7.270 7.270 7.270 Å, 132.07 132.07 70.12°
Sites, in units of the cell vectors:
Sc  0.100  0.625  0.975
Sc  0.375  0.350  0.475
Sc  0.650  0.125  0.025
Sc  0.875  0.900  0.525
Os  0.000  0.000  0.000
Os  0.750  0.250  0.500
Cl  0.250  0.750  0.500
Cl  0.500  0.500  0.000

***

Below is crystalline CaLa3P at its relaxed geometry, with properties calculated at the GGA-PBE level.

Calculated values
Calculated formation energy: 849 meV/atom
Relative energy among the computed polymorphs: 1.355 eV per atom

Cell: 5.563 5.563 5.563 Å, 90.00 90.00 90.00°
Sites, in units of the cell vectors:
Ca  0.000  0.000  0.000
La  0.000  0.000  0.500
La  0.000  0.500  0.000
La  0.500  0.000  0.000
P  0.500  0.500  0.500

***

Below is crystalline Y2NbTl at its relaxed geometry, with properties calculated at the GGA-PBE level.

Calculated values
Calculated formation energy: 474 meV/atom
Relative energy among the computed polymorphs: 0.340 eV per atom

Cell: 11.492 11.492 11.492 Å, 16.48 16.48 16.48°
Sites, in units of the cell vectors:
Y  0.087  0.087  0.087
Y  0.913  0.913  0.913
Nb  0.000  0.000  0.000
Tl  0.500  0.500  0.500

***

Below is crystalline La2YScPt at its relaxed geometry, with properties calculated at the GGA-PBE level.

Calculated values
Calculated formation energy: 267 meV/atom

Cell: 5.726 5.726 4.818 Å, 90.00 90.00 90.00°
Sites, in units of the cell vectors:
La  0.000  0.500  0.000
La  0.500  0.000  0.000
Y  0.000  0.000  0.500
Sc  0.500  0.500  0.000
Pt  0.500  0.500  0.500

***

Below is crystalline NpH12Pt4Rh3 at its relaxed geometry, with properties calculated at the GGA-PBE level.

Calculated values
Calculated total energy: -99.488 eV/cell

Cell: 5.734 5.734 5.734 Å, 96.78 96.78 96.78°
Sites, in units of the cell vectors:
Np  0.000  0.000  0.000
H  0.065  0.935  0.500
H  0.078  0.321  0.387
H  0.300  0.700  0.500
H  0.321  0.387  0.078
H  0.387  0.078  0.321
H  0.500  0.065  0.935
H  0.500  0.300  0.700
H  0.613  0.679  0.922
H  0.679  0.922  0.613
H  0.700  0.500  0.300
H  0.922  0.613  0.679
H  0.935  0.500  0.065
Pt  0.137  0.500  0.863
Pt  0.500  0.500  0.500
Pt  0.500  0.863  0.137
Pt  0.863  0.137  0.500
Rh  0.000  0.607  0.393
Rh  0.393  0.000  0.607
Rh  0.607  0.393  0.000

***

Please write out number 5 again, unchanged.
Below is crystalline CaLa3P at its relaxed geometry, with properties calculated at the GGA-PBE level.

Calculated values
Calculated formation energy: 849 meV/atom
Relative energy among the computed polymorphs: 1.355 eV per atom

Cell: 5.563 5.563 5.563 Å, 90.00 90.00 90.00°
Sites, in units of the cell vectors:
Ca  0.000  0.000  0.000
La  0.000  0.000  0.500
La  0.000  0.500  0.000
La  0.500  0.000  0.000
P  0.500  0.500  0.500

***

- What is the formula in the fifth record?
  CaLa3P

***

Please write out number 8 again, unchanged.
Below is crystalline NpH12Pt4Rh3 at its relaxed geometry, with properties calculated at the GGA-PBE level.

Calculated values
Calculated total energy: -99.488 eV/cell

Cell: 5.734 5.734 5.734 Å, 96.78 96.78 96.78°
Sites, in units of the cell vectors:
Np  0.000  0.000  0.000
H  0.065  0.935  0.500
H  0.078  0.321  0.387
H  0.300  0.700  0.500
H  0.321  0.387  0.078
H  0.387  0.078  0.321
H  0.500  0.065  0.935
H  0.500  0.300  0.700
H  0.613  0.679  0.922
H  0.679  0.922  0.613
H  0.700  0.500  0.300
H  0.922  0.613  0.679
H  0.935  0.500  0.065
Pt  0.137  0.500  0.863
Pt  0.500  0.500  0.500
Pt  0.500  0.863  0.137
Pt  0.863  0.137  0.500
Rh  0.000  0.607  0.393
Rh  0.393  0.000  0.607
Rh  0.607  0.393  0.000